Entry 1:
Cu3TeSe2 | PBE | optimized geometry

- Energy: -42.97 eV for the cell shown
- V: 22.10 Å³/atom

Unit cell a=4.1696 b=4.1696 c=17.6962 alpha=90.00 beta=90.00 gamma=120.45
Positions (direct):
Cu1 0.1297 0.8703 0.7500
Cu2 0.1587 0.8413 0.1007
Cu3 0.1587 0.8413 0.3993
Cu4 0.8413 0.1587 0.6007
Cu5 0.8413 0.1587 0.8993
Cu6 0.8703 0.1297 0.2500
Te1 0.2018 0.7982 0.2500
Te2 0.7982 0.2018 0.7500
Se1 0.4920 0.5080 0.0689
Se2 0.4920 0.5080 0.4311
Se3 0.5080 0.4920 0.5689
Se4 0.5080 0.4920 0.9311


Entry 2:
PmAl | PBE | optimized geometry

- Energy: -8.60 eV for the cell shown
- V: 26.51 Å³/atom

Unit cell a=3.5004 b=3.5004 c=4.9972 alpha=90.00 beta=90.00 gamma=120.00
Positions (direct):
Pm1 0.0000 0.0000 0.0000
Al1 0.3333 0.6667 0.5000


Entry 3:
AcTmAs | PBE | optimized geometry

- Energy: -14.95 eV for the cell shown
- Energy above the most stable polymorph in this dataset: 0.000 eV per atom
- V: 30.72 Å³/atom

Unit cell a=5.0702 b=5.0702 c=5.0702 alpha=60.00 beta=60.00 gamma=60.00
Positions (direct):
Ac1 0.0000 0.0000 0.0000
Tm1 0.5000 0.5000 0.5000
As1 0.2500 0.2500 0.2500


Entry 4:
Ba2TbSnO6 | PBE | optimized geometry

- Energy: -67.02 eV for the cell shown
- V: 15.71 Å³/atom

Unit cell a=6.0553 b=6.0553 c=6.0553 alpha=60.03 beta=60.03 gamma=60.03
Positions (direct):
Ba1 0.2499 0.2499 0.2499
Ba2 0.7501 0.7501 0.7501
Tb1 0.0000 0.0000 0.0000
Sn1 0.5000 0.5000 0.5000
O1 0.2467 0.2720 0.7410
O2 0.2590 0.7533 0.7280
O3 0.2720 0.7410 0.2467
O4 0.7280 0.2590 0.7533
O5 0.7410 0.2467 0.2720
O6 0.7533 0.7280 0.2590


Entry 5:
Tl3ReClF6 | PBE | optimized geometry

- Energy: -104.56 eV for the cell shown
- V: 18.75 Å³/atom

Unit cell a=8.2312 b=8.2312 c=6.0874 alpha=90.00 beta=90.00 gamma=90.00
Positions (direct):
Tl1 0.0000 0.0000 0.0000
Tl2 0.1823 0.3177 0.5000
Tl3 0.3177 0.8177 0.5000
Tl4 0.5000 0.5000 0.0000
Tl5 0.6823 0.1823 0.5000
Tl6 0.8177 0.6823 0.5000
Re1 0.0000 0.5000 0.0000
Re2 0.5000 0.0000 0.0000
Cl1 0.0000 0.0000 0.5000
Cl2 0.5000 0.5000 0.5000
F1 0.1173 0.6173 0.2352
F2 0.1173 0.6173 0.7648
F3 0.1705 0.3295 0.0000
F4 0.3295 0.8295 0.0000
F5 0.3827 0.1173 0.2352
F6 0.3827 0.1173 0.7648
F7 0.6173 0.8827 0.2352
F8 0.6173 0.8827 0.7648
F9 0.6705 0.1705 0.0000
F10 0.8295 0.6705 0.0000
F11 0.8827 0.3827 0.2352
F12 0.8827 0.3827 0.7648


Entry 6:
LuInCoTc | PBE | optimized geometry

- Energy: -24.43 eV for the cell shown
- Energy above the most stable polymorph in this dataset: 0.000 eV per atom
- V: 17.13 Å³/atom

Unit cell a=4.5935 b=4.5935 c=4.5935 alpha=60.00 beta=60.00 gamma=60.00
Positions (direct):
Lu1 0.0000 0.0000 0.0000
In1 0.5000 0.5000 0.5000
Co1 0.7500 0.7500 0.7500
Tc1 0.2500 0.2500 0.2500


Entry 7:
ZrB | PBE | optimized geometry

- Energy: -184.43 eV for the cell shown
- V: 14.59 Å³/atom

Unit cell a=6.1845 b=5.0575 c=11.2132 alpha=90.00 beta=93.36 gamma=90.00
Positions (direct):
Zr1 0.0668 0.2500 0.3746
Zr2 0.0787 0.7500 0.0974
Zr3 0.3391 0.2500 0.1671
Zr4 0.3869 0.7500 0.5579
Zr5 0.3954 0.2500 0.9145
Zr6 0.4078 0.7500 0.3106
Zr7 0.5922 0.2500 0.6894
Zr8 0.6046 0.7500 0.0855
Zr9 0.6131 0.2500 0.4421
Zr10 0.6609 0.7500 0.8329
Zr11 0.9213 0.2500 0.9026
Zr12 0.9332 0.7500 0.6254
B1 0.0229 0.7500 0.4013
B2 0.0614 0.7500 0.8638
B3 0.1797 0.2500 0.7144
B4 0.2507 0.2500 0.5724
B5 0.2800 0.7500 0.7707
B6 0.3182 0.7500 0.9227
B7 0.6818 0.2500 0.0773
B8 0.7200 0.2500 0.2293
B9 0.7493 0.7500 0.4276
B10 0.8203 0.7500 0.2856
B11 0.9386 0.2500 0.1362
B12 0.9771 0.2500 0.5987


Entry 8:
LiTaNO | PBE | optimized geometry

- Energy: -62.38 eV for the cell shown
- Energy above the most stable polymorph in this dataset: 0.740 eV per atom
- V: 9.25 Å³/atom

Unit cell a=3.1330 b=3.1330 c=7.5376 alpha=90.00 beta=90.00 gamma=90.00
Positions (direct):
Li1 0.2500 0.7500 0.0000
Li2 0.7500 0.2500 0.0000
Ta1 0.2500 0.2500 0.3164
Ta2 0.7500 0.7500 0.6836
N1 0.2500 0.2500 0.8021
N2 0.7500 0.7500 0.1979
O1 0.2500 0.7500 0.5000
O2 0.7500 0.2500 0.5000


Entry 9:
K2Ir2O5 | PBE | optimized geometry

- Energy: -40.52 eV for the cell shown
- Energy above the most stable polymorph in this dataset: 1.362 eV per atom
- V: 15.86 Å³/atom

Unit cell a=3.9641 b=3.9641 c=9.0829 alpha=90.00 beta=90.00 gamma=90.00
Positions (direct):
K1 0.0000 0.0000 0.2497
K2 0.0000 0.0000 0.7503
Ir1 0.5000 0.5000 0.0000
Ir2 0.5000 0.5000 0.5000
O1 0.0000 0.0000 0.0000
O2 0.0000 0.5000 0.4173
O3 0.0000 0.5000 0.5827
O4 0.5000 0.0000 0.4173
O5 0.5000 0.0000 0.5827


Entry 10:
ZnOsPb2 | PBE | optimized geometry

- Energy: -16.39 eV for the cell shown
- V: 21.44 Å³/atom

Unit cell a=4.9500 b=4.9500 c=4.9500 alpha=60.00 beta=60.00 gamma=60.00
Positions (direct):
Zn1 0.0000 0.0000 0.0000
Os1 0.2500 0.2500 0.2500
Pb1 0.5000 0.5000 0.5000
Pb2 0.7500 0.7500 0.7500


Entry 11:
Mg2ZnTe2F2 | PBE | optimized geometry

- Energy: -25.70 eV for the cell shown
- V: 18.69 Å³/atom

Unit cell a=3.8149 b=3.8149 c=8.9907 alpha=90.00 beta=90.00 gamma=90.00
Positions (direct):
Mg1 0.0000 0.5000 0.1218
Mg2 0.5000 0.0000 0.8782
Zn1 0.0000 0.0000 0.5000
Te1 0.0000 0.5000 0.6981
Te2 0.5000 0.0000 0.3019
F1 0.0000 0.0000 0.0000
F2 0.5000 0.5000 0.0000


Entry 12:
Nb2AlC | PBE | optimized geometry

- Energy: -70.40 eV for the cell shown
- V: 14.76 Å³/atom

Unit cell a=3.1283 b=3.1283 c=13.9297 alpha=90.00 beta=90.00 gamma=120.00
Positions (direct):
Nb1 0.0000 0.0000 0.1602
Nb2 0.0000 0.0000 0.8398
Nb3 0.6667 0.3333 0.3391
Nb4 0.6667 0.3333 0.6609
Al1 0.0000 0.0000 0.5000
Al2 0.6667 0.3333 0.0000
C1 0.3333 0.6667 0.2495
C2 0.3333 0.6667 0.7505


Entry 13:
YSnHg2 | PBE | optimized geometry

- Energy: -12.01 eV for the cell shown
- V: 25.57 Å³/atom

Unit cell a=5.2492 b=5.2492 c=5.2492 alpha=60.00 beta=60.00 gamma=60.00
Positions (direct):
Y1 0.0000 0.0000 0.0000
Sn1 0.7500 0.7500 0.7500
Hg1 0.2500 0.2500 0.2500
Hg2 0.5000 0.5000 0.5000


Entry 14:
Sm6OsO12 | PBE | optimized geometry

- Energy: -155.12 eV for the cell shown
- V: 14.46 Å³/atom

Unit cell a=6.5837 b=6.5837 c=6.5837 alpha=98.59 beta=98.59 gamma=98.59
Positions (direct):
Sm1 0.1114 0.8098 0.6438
Sm2 0.1902 0.3562 0.8886
Sm3 0.3562 0.8886 0.1902
Sm4 0.6438 0.1114 0.8098
Sm5 0.8098 0.6438 0.1114
Sm6 0.8886 0.1902 0.3562
Os1 0.5000 0.5000 0.5000
O1 0.0619 0.9095 0.3224
O2 0.0905 0.6776 0.9381
O3 0.2075 0.4310 0.5327
O4 0.3224 0.0619 0.9095
O5 0.4310 0.5327 0.2075
O6 0.4673 0.7925 0.5690
O7 0.5327 0.2075 0.4310
O8 0.5690 0.4673 0.7925
O9 0.6776 0.9381 0.0905
O10 0.7925 0.5690 0.4673
O11 0.9095 0.3224 0.0619
O12 0.9381 0.0905 0.6776


Entry 15:
Sm4C2I3F2 | PBE | optimized geometry

- Energy: -63.45 eV for the cell shown
- V: 27.61 Å³/atom

Unit cell a=9.8330 b=9.8330 c=8.2095 alpha=99.90 beta=99.90 gamma=22.87
Positions (direct):
Sm1 0.9999 0.9999 0.1925
Sm2 0.0001 0.0001 0.8075
Sm3 0.3483 0.3483 0.8930
Sm4 0.6517 0.6517 0.1070
C1 0.4631 0.4631 0.9804
C2 0.5369 0.5369 0.0196
I1 0.1711 0.1711 0.8071
I2 0.5000 0.5000 0.5000
I3 0.8289 0.8289 0.1929
F1 0.1429 0.1429 0.2587
F2 0.8571 0.8571 0.7413


Entry 16:
Ho2TmGa3CuNi2 | PBE | optimized geometry

- Energy: -42.98 eV for the cell shown
- V: 17.85 Å³/atom

Unit cell a=3.7002 b=7.0776 c=7.0776 alpha=119.93 beta=90.00 gamma=90.00
Positions (direct):
Ho1 0.0000 0.2063 0.7937
Ho2 0.0000 0.7937 0.2063
Tm1 0.0000 0.3812 0.3812
Ga1 0.5000 0.0507 0.0507
Ga2 0.5000 0.5372 0.7920
Ga3 0.5000 0.7920 0.5372
Cu1 0.0000 0.7924 0.7924
Ni1 0.5000 0.1282 0.4593
Ni2 0.5000 0.4593 0.1282


Entry 17:
Sc2ZnAu | PBE | optimized geometry

- Energy: -18.54 eV for the cell shown
- V: 18.34 Å³/atom

Unit cell a=4.6987 b=4.6987 c=4.6987 alpha=60.00 beta=60.00 gamma=60.00
Positions (direct):
Sc1 0.0000 0.0000 0.0000
Sc2 0.2500 0.2500 0.2500
Zn1 0.5000 0.5000 0.5000
Au1 0.7500 0.7500 0.7500


Entry 18:
PrGdSi4Os2 | PBE | optimized geometry

- Energy: -59.47 eV for the cell shown
- V: 18.61 Å³/atom

Unit cell a=4.4718 b=4.1373 c=8.2260 alpha=90.00 beta=101.93 gamma=90.00
Positions (direct):
Pr1 0.0000 0.0000 0.0000
Gd1 0.1810 0.5000 0.4039
Si1 0.2537 0.0000 0.6925
Si2 0.5498 0.5000 0.1091
Si3 0.6271 0.0000 0.2917
Si4 0.9224 0.5000 0.7020
Os1 0.4699 0.5000 0.8115
Os2 0.7053 0.0000 0.5842


Entry 19:
SrNbIn | PBE | optimized geometry

- Energy: -10.54 eV for the cell shown
- Energy above the most stable polymorph in this dataset: 0.453 eV per atom
- V: 33.61 Å³/atom

Unit cell a=5.2243 b=5.2243 c=5.2243 alpha=60.00 beta=60.00 gamma=60.00
Positions (direct):
Sr1 0.0000 0.0000 0.0000
Nb1 0.2500 0.2500 0.2500
In1 0.7500 0.7500 0.7500


Entry 20:
PrTmAs | PBE | optimized geometry

- Energy: -16.08 eV for the cell shown
- V: 27.71 Å³/atom

Unit cell a=4.8986 b=4.8986 c=4.8986 alpha=60.00 beta=60.00 gamma=60.00
Positions (direct):
Pr1 0.0000 0.0000 0.0000
Tm1 0.5000 0.5000 0.5000
As1 0.2500 0.2500 0.2500


Entry 21:
GdTa3Pt5 | PBE | optimized geometry

- Energy: -72.54 eV for the cell shown
- V: 18.30 Å³/atom

Unit cell a=7.0700 b=7.0700 c=3.8055 alpha=90.00 beta=90.00 gamma=120.00
Positions (direct):
Gd1 0.0000 0.0000 0.0000
Ta1 0.0000 0.5521 0.0000
Ta2 0.4479 0.4479 0.0000
Ta3 0.5521 0.0000 0.0000
Pt1 0.0000 0.2691 0.5000
Pt2 0.2691 0.0000 0.5000
Pt3 0.3333 0.6667 0.5000
Pt4 0.6667 0.3333 0.5000
Pt5 0.7309 0.7309 0.5000


Entry 22:
ThCdMo | PBE | optimized geometry

- Energy: -17.16 eV for the cell shown
- V: 25.16 Å³/atom

Unit cell a=4.7438 b=4.7438 c=4.7438 alpha=60.00 beta=60.00 gamma=60.00
Positions (direct):
Th1 0.0000 0.0000 0.0000
Cd1 0.5000 0.5000 0.5000
Mo1 0.7500 0.7500 0.7500


Entry 23:
DyGeH2O4 | PBE | optimized geometry

- Energy: -94.30 eV for the cell shown
- Energy above the most stable polymorph in this dataset: 0.361 eV per atom
- V: 11.41 Å³/atom

Unit cell a=6.2400 b=6.2400 c=6.2400 alpha=114.89 beta=114.89 gamma=99.11
Positions (direct):
Dy1 0.0000 0.0000 0.0000
Dy2 0.7500 0.2500 0.5000
Ge1 0.2500 0.7500 0.5000
Ge2 0.5000 0.5000 0.0000
H1 0.0188 0.5188 0.5000
H2 0.2688 0.2688 0.0000
H3 0.4812 0.9812 0.5000
H4 0.7312 0.7312 0.0000
O1 0.0425 0.7224 0.6682
O2 0.0542 0.3743 0.3318
O3 0.1243 0.3042 0.8318
O4 0.2776 0.9458 0.3201
O5 0.4724 0.2925 0.1682
O6 0.6257 0.9575 0.6799
O7 0.6958 0.5276 0.8201
O8 0.7075 0.8757 0.1799


Entry 24:
KPuGa | PBE | optimized geometry

- Energy: -16.78 eV for the cell shown
- Energy above the most stable polymorph in this dataset: 0.000 eV per atom
- V: 35.64 Å³/atom

Unit cell a=5.3273 b=5.3273 c=5.3273 alpha=60.00 beta=60.00 gamma=60.00
Positions (direct):
K1 0.0000 0.0000 0.0000
Pu1 0.5000 0.5000 0.5000
Ga1 0.2500 0.2500 0.2500